VASP calculation (PBE with a Hubbard U) on crystalline MnAs2PdO8 at its relaxed geometry.

Raw total energy, eV per atom: -6.013

Cell and atoms, written as POSCAR:
```
MnAs2PdO8
1.0
5.499 0.000 0.000
-2.750 4.763 0.000
0.000 0.000 6.289
O As Mn Pd
8 2 1 1
Direct
0.690 0.845 0.776
0.845 0.690 0.224
0.155 0.845 0.776
0.155 0.310 0.776
0.667 0.333 0.555
0.333 0.667 0.445
0.310 0.155 0.224
0.845 0.155 0.224
0.333 0.667 0.710
0.667 0.333 0.290
0.000 0.000 0.500
0.000 0.000 0.000
```